Entry 1:
DFT (PBE-GGA) results for crystalline Ca3YAg4 at its relaxed geometry.

Calculated values
DFT formation energy ... -0.3208 eV/atom
Symmetry ... P4/mmm, No. 123

Geometry as CIF:
```
data_Ca3YAg4
_cell_length_a 3.6971
_cell_length_b 3.6971
_cell_length_c 14.8049
_cell_angle_alpha 90.00
_cell_angle_beta 90.00
_cell_angle_gamma 90.00
_space_group_name_H-M_alt 'P 1'
_space_group_IT_number 1
loop_
_space_group_symop_operation_xyz
'x,y,z'
loop_
_atom_site_label
_atom_site_type_symbol
_atom_site_fract_x
_atom_site_fract_y
_atom_site_fract_z
_atom_site_occupancy
Ca1 Ca 0.5000 0.5000 0.5000 1
Ca2 Ca 0.5000 0.5000 0.2474 1
Ca3 Ca 0.5000 0.5000 0.7526 1
Y1 Y 0.5000 0.5000 0.0000 1
Ag1 Ag 0.0000 0.0000 0.6253 1
Ag2 Ag 0.0000 0.0000 0.3747 1
Ag3 Ag 0.0000 0.0000 0.1151 1
Ag4 Ag 0.0000 0.0000 0.8849 1
```



Entry 2:
DFT (PBE-GGA) results for crystalline Tl3Cu2GeCl8 at its relaxed geometry.

Calculated values
VASP energy ... -3.245 eV per atom
Symmetry ... P-3m1, No. 164

Geometry as CIF:
```
data_Tl3Cu2GeCl8
_cell_length_a 7.1484
_cell_length_b 7.1484
_cell_length_c 9.0364
_cell_angle_alpha 90.00
_cell_angle_beta 90.00
_cell_angle_gamma 120.00
_space_group_name_H-M_alt 'P 1'
_space_group_IT_number 1
loop_
_space_group_symop_operation_xyz
'x,y,z'
loop_
_atom_site_label
_atom_site_type_symbol
_atom_site_fract_x
_atom_site_fract_y
_atom_site_fract_z
_atom_site_occupancy
Cu1 Cu 0.3333 0.6667 0.2033 1
Cl1 Cl 0.1665 0.3331 0.3263 1
Tl1 Tl 0.3333 0.6667 0.6337 1
Cl2 Cl 0.8335 0.6669 0.6737 1
Cl3 Cl 0.6667 0.3333 0.0380 1
Cl4 Cl 0.3333 0.6667 0.9620 1
Cl5 Cl 0.6669 0.8335 0.3263 1
Cl6 Cl 0.3331 0.1665 0.6737 1
Tl2 Tl 0.6667 0.3333 0.3663 1
Ge1 Ge 0.0000 0.0000 0.5000 1
Cu2 Cu 0.6667 0.3333 0.7967 1
Cl7 Cl 0.8335 0.1665 0.6737 1
Cl8 Cl 0.1665 0.8335 0.3263 1
Tl3 Tl 0.0000 0.0000 0.0000 1
```